Record 1
First-principles (PBE) data for crystalline Cs2Sr2Mg at its relaxed geometry, as listed in Alexandria via LeMat-Bulk.

Geometry as CIF:
```
data_Cs2Sr2Mg
_space_group_name_H-M_alt 'P 1'
_space_group_IT_number 1
_cell_length_a 9.3191
_cell_length_b 9.3191
_cell_length_c 7.8133
_cell_angle_alpha 90.00
_cell_angle_beta 90.00
_cell_angle_gamma 90.00
loop_
_space_group_symop_operation_xyz
'x,y,z'
loop_
_atom_site_label
_atom_site_type_symbol
_atom_site_fract_x
_atom_site_fract_y
_atom_site_fract_z
Cs1 Cs 0.6781 0.1781 0.5000
Cs2 Cs 0.8219 0.6781 0.5000
Cs3 Cs 0.3219 0.8219 0.5000
Cs4 Cs 0.1781 0.3219 0.5000
Sr1 Sr 0.8388 0.3388 0.0000
Sr2 Sr 0.6612 0.8388 0.0000
Sr3 Sr 0.1612 0.6612 0.0000
Sr4 Sr 0.3388 0.1612 0.0000
Mg1 Mg 0.0000 0.0000 0.0000
Mg2 Mg 0.5000 0.5000 0.0000
```

Output
The value obtained for the spin magnetization is 0.0 μB/f.u. For the calculated volume, the calculation gives 67.85 Å³ per atom. The crystal system is tetragonal. The value obtained for the formation energy from the elements is 0.23 eV per atom.



Record 2
First-principles (PBE) data for crystalline CsSrMg14 at its relaxed geometry, as listed in Alexandria via LeMat-Bulk.

Geometry as CIF:
```
data_CsSrMg14
_space_group_name_H-M_alt 'P 1'
_space_group_IT_number 1
_cell_length_a 6.8944
_cell_length_b 6.8944
_cell_length_c 10.7613
_cell_angle_alpha 90.00
_cell_angle_beta 90.00
_cell_angle_gamma 120.00
loop_
_space_group_symop_operation_xyz
'x,y,z'
loop_
_atom_site_label
_atom_site_type_symbol
_atom_site_fract_x
_atom_site_fract_y
_atom_site_fract_z
Cs1 Cs 0.0000 0.0000 0.0000
Sr1 Sr 0.0000 0.0000 0.5000
Mg1 Mg 0.0104 0.5052 0.0000
Mg2 Mg 0.0089 0.5044 0.5000
Mg3 Mg 0.4948 0.9896 0.0000
Mg4 Mg 0.4956 0.9911 0.5000
Mg5 Mg 0.4948 0.5052 0.0000
Mg6 Mg 0.4956 0.5044 0.5000
Mg7 Mg 0.1809 0.8191 0.2557
Mg8 Mg 0.1809 0.8191 0.7443
Mg9 Mg 0.1809 0.3619 0.2557
Mg10 Mg 0.1809 0.3619 0.7443
Mg11 Mg 0.6381 0.8191 0.2557
Mg12 Mg 0.6381 0.8191 0.7443
Mg13 Mg 0.6667 0.3333 0.2498
Mg14 Mg 0.6667 0.3333 0.7502
```

Output
The value obtained for the spin magnetization is 0.0 μB/f.u. For the calculated volume, the calculation gives 27.69 Å³ per atom. The crystal system is hexagonal. The value obtained for the formation energy from the elements is 0.17 eV per atom.



Record 3
First-principles (PBE) data for crystalline CsSr3Mg at its relaxed geometry, as listed in Alexandria via LeMat-Bulk.

Geometry as CIF:
```
data_CsSr3Mg
_space_group_name_H-M_alt 'P 1'
_space_group_IT_number 1
_cell_length_a 6.3087
_cell_length_b 6.3087
_cell_length_c 6.3087
_cell_angle_alpha 90.00
_cell_angle_beta 90.00
_cell_angle_gamma 90.00
loop_
_space_group_symop_operation_xyz
'x,y,z'
loop_
_atom_site_label
_atom_site_type_symbol
_atom_site_fract_x
_atom_site_fract_y
_atom_site_fract_z
Cs1 Cs 0.0000 0.0000 0.0000
Sr1 Sr 0.0000 0.5000 0.0000
Sr2 Sr 0.0000 0.0000 0.5000
Sr3 Sr 0.5000 0.0000 0.0000
Mg1 Mg 0.5000 0.5000 0.5000
```

Output
The value obtained for the spin magnetization is 0.0 μB/f.u. For the calculated volume, the calculation gives 50.22 Å³ per atom. The crystal system is cubic. The value obtained for the formation energy from the elements is 0.97 eV per atom.



Record 4
First-principles (PBE) data for crystalline CsSr2Mg2 at its relaxed geometry, as listed in Alexandria via LeMat-Bulk.

Geometry as CIF:
```
data_CsSr2Mg2
_space_group_name_H-M_alt 'P 1'
_space_group_IT_number 1
_cell_length_a 10.4553
_cell_length_b 10.4553
_cell_length_c 4.2701
_cell_angle_alpha 90.00
_cell_angle_beta 90.00
_cell_angle_gamma 90.00
loop_
_space_group_symop_operation_xyz
'x,y,z'
loop_
_atom_site_label
_atom_site_type_symbol
_atom_site_fract_x
_atom_site_fract_y
_atom_site_fract_z
Cs1 Cs 0.0000 0.0000 0.0000
Cs2 Cs 0.5000 0.5000 0.0000
Sr1 Sr 0.1612 0.6612 0.5000
Sr2 Sr 0.6612 0.8388 0.5000
Sr3 Sr 0.8388 0.3388 0.5000
Sr4 Sr 0.3388 0.1612 0.5000
Mg1 Mg 0.3816 0.8816 0.0000
Mg2 Mg 0.8816 0.6184 0.0000
Mg3 Mg 0.6184 0.1184 0.0000
Mg4 Mg 0.1184 0.3816 0.0000
```

Output
The value obtained for the spin magnetization is 0.0 μB/f.u. For the calculated volume, the calculation gives 46.68 Å³ per atom. The crystal system is tetragonal. The value obtained for the formation energy from the elements is 0.12 eV per atom.



Record 5
First-principles (PBE) data for crystalline CsSr2Mg2 at its relaxed geometry, as listed in Alexandria via LeMat-Bulk.

Geometry as CIF:
```
data_CsSr2Mg2
_space_group_name_H-M_alt 'P 1'
_space_group_IT_number 1
_cell_length_a 10.6235
_cell_length_b 10.6235
_cell_length_c 4.0138
_cell_angle_alpha 90.00
_cell_angle_beta 90.00
_cell_angle_gamma 90.00
loop_
_space_group_symop_operation_xyz
'x,y,z'
loop_
_atom_site_label
_atom_site_type_symbol
_atom_site_fract_x
_atom_site_fract_y
_atom_site_fract_z
Cs1 Cs 0.0000 0.0000 0.0000
Cs2 Cs 0.5000 0.5000 0.0000
Sr1 Sr 0.3702 0.8702 0.0000
Sr2 Sr 0.8702 0.6298 0.0000
Sr3 Sr 0.6298 0.1298 0.0000
Sr4 Sr 0.1298 0.3702 0.0000
Mg1 Mg 0.1606 0.6606 0.5000
Mg2 Mg 0.6606 0.8394 0.5000
Mg3 Mg 0.8394 0.3394 0.5000
Mg4 Mg 0.3394 0.1606 0.5000
```

Output
The value obtained for the spin magnetization is 0.4 μB/f.u. For the calculated volume, the calculation gives 45.30 Å³ per atom. The crystal system is tetragonal. The value obtained for the formation energy from the elements is 0.12 eV per atom.



Record 6
First-principles (PBE) data for crystalline CsSr2Mg2 at its relaxed geometry, as listed in Alexandria via LeMat-Bulk.

Geometry as CIF:
```
data_CsSr2Mg2
_space_group_name_H-M_alt 'P 1'
_space_group_IT_number 1
_cell_length_a 4.3943
_cell_length_b 4.3943
_cell_length_c 13.9390
_cell_angle_alpha 80.93
_cell_angle_beta 80.93
_cell_angle_gamma 90.00
loop_
_space_group_symop_operation_xyz
'x,y,z'
loop_
_atom_site_label
_atom_site_type_symbol
_atom_site_fract_x
_atom_site_fract_y
_atom_site_fract_z
Cs1 Cs 0.0000 0.0000 0.0000
Sr1 Sr 0.3574 0.3574 0.2852
Sr2 Sr 0.6426 0.6426 0.7148
Mg1 Mg 0.7500 0.2500 0.5000
Mg2 Mg 0.2500 0.7500 0.5000
```

Output
The value obtained for the spin magnetization is 0.0 μB/f.u. For the calculated volume, the calculation gives 52.48 Å³ per atom. The crystal system is tetragonal. The value obtained for the formation energy from the elements is 0.17 eV per atom.



Record 7
First-principles (PBE) data for crystalline CsSrMg3 at its relaxed geometry, as listed in Alexandria via LeMat-Bulk.

Geometry as CIF:
```
data_CsSrMg3
_space_group_name_H-M_alt 'P 1'
_space_group_IT_number 1
_cell_length_a 6.3810
_cell_length_b 6.3810
_cell_length_c 6.3810
_cell_angle_alpha 90.00
_cell_angle_beta 90.00
_cell_angle_gamma 90.00
loop_
_space_group_symop_operation_xyz
'x,y,z'
loop_
_atom_site_label
_atom_site_type_symbol
_atom_site_fract_x
_atom_site_fract_y
_atom_site_fract_z
Cs1 Cs 0.0000 0.0000 0.0000
Sr1 Sr 0.5000 0.5000 0.5000
Mg1 Mg 0.0000 0.5000 0.0000
Mg2 Mg 0.0000 0.0000 0.5000
Mg3 Mg 0.5000 0.0000 0.0000
```

Output
The value obtained for the spin magnetization is 0.0 μB/f.u. For the calculated volume, the calculation gives 51.96 Å³ per atom. The crystal system is cubic. The value obtained for the formation energy from the elements is 0.86 eV per atom.



Record 8
First-principles (PBE) data for crystalline Cs2MgTa at its relaxed geometry, as listed in Alexandria via LeMat-Bulk.

Geometry as CIF:
```
data_Cs2MgTa
_space_group_name_H-M_alt 'P 1'
_space_group_IT_number 1
_cell_length_a 6.2288
_cell_length_b 6.2288
_cell_length_c 6.2288
_cell_angle_alpha 60.00
_cell_angle_beta 60.00
_cell_angle_gamma 60.00
loop_
_space_group_symop_operation_xyz
'x,y,z'
loop_
_atom_site_label
_atom_site_type_symbol
_atom_site_fract_x
_atom_site_fract_y
_atom_site_fract_z
Cs1 Cs 0.2500 0.2500 0.2500
Cs2 Cs 0.7500 0.7500 0.7500
Mg1 Mg 0.0000 0.0000 0.0000
Ta1 Ta 0.5000 0.5000 0.5000
```

Output
The value obtained for the spin magnetization is 4.9 μB/f.u. For the calculated volume, the calculation gives 42.72 Å³ per atom. The crystal system is cubic. The value obtained for the formation energy from the elements is 1.57 eV per atom.



Record 9
First-principles (PBE) data for crystalline CsMgTaTl2 at its relaxed geometry, as listed in Alexandria via LeMat-Bulk.

Geometry as CIF:
```
data_CsMgTaTl2
_space_group_name_H-M_alt 'P 1'
_space_group_IT_number 1
_cell_length_a 5.6257
_cell_length_b 5.6189
_cell_length_c 5.6257
_cell_angle_alpha 90.00
_cell_angle_beta 90.00
_cell_angle_gamma 90.00
loop_
_space_group_symop_operation_xyz
'x,y,z'
loop_
_atom_site_label
_atom_site_type_symbol
_atom_site_fract_x
_atom_site_fract_y
_atom_site_fract_z
Cs1 Cs 0.5000 0.5000 0.5000
Tl1 Tl 0.0000 0.0000 0.5000
Tl2 Tl 0.5000 0.0000 0.0000
Mg1 Mg 0.0000 0.0000 0.0000
Ta1 Ta 0.0000 0.5000 0.0000
```

Output
The value obtained for the spin magnetization is 3.0 μB/f.u. For the calculated volume, the calculation gives 35.57 Å³ per atom. The crystal system is tetragonal. The value obtained for the formation energy from the elements is 1.07 eV per atom.



Record 10
First-principles (PBE) data for crystalline CsTb2MgTe4 at its relaxed geometry, as listed in Alexandria via LeMat-Bulk.

Geometry as CIF:
```
data_CsTb2MgTe4
_space_group_name_H-M_alt 'P 1'
_space_group_IT_number 1
_cell_length_a 4.5202
_cell_length_b 8.2196
_cell_length_c 15.9028
_cell_angle_alpha 90.00
_cell_angle_beta 90.00
_cell_angle_gamma 105.96
loop_
_space_group_symop_operation_xyz
'x,y,z'
loop_
_atom_site_label
_atom_site_type_symbol
_atom_site_fract_x
_atom_site_fract_y
_atom_site_fract_z
Cs1 Cs 0.1160 0.2320 0.7500
Cs2 Cs 0.8840 0.7680 0.2500
Tb1 Tb 0.3764 0.7528 0.5535
Tb2 Tb 0.6236 0.2472 0.0535
Tb3 Tb 0.6236 0.2472 0.4465
Tb4 Tb 0.3764 0.7528 0.9465
Mg1 Mg 0.8318 0.6636 0.7500
Mg2 Mg 0.1682 0.3364 0.2500
Te1 Te 0.2582 0.5163 0.1029
Te2 Te 0.7418 0.4837 0.6029
Te3 Te 0.7418 0.4837 0.8971
Te4 Te 0.2582 0.5163 0.3971
Te5 Te 0.0000 0.0000 0.5000
Te6 Te 0.0000 0.0000 0.0000
Te7 Te 0.4322 0.8643 0.7500
Te8 Te 0.5678 0.1357 0.2500
```

Output
The value obtained for the spin magnetization is 0.0 μB/f.u. As for the formation energy from raw total energies: -1.182 eV/atom. For the calculated volume, the calculation gives 35.50 Å³ per atom. The crystal system is orthorhombic.